Entry 1:
The following is a DFT calculation (PBE) of an optimized crystal structure of LaTbCuRu.

Distance to the lowest polymorph of the same formula in meV/atom: 16
Volume in Å³ per cell: 87.6
Magnetic moment in μB per cell: 0.000
Formation energy from the elements in eV per formula unit: -0.913

extended XYZ file:
```
4
Lattice="4.985 0.000 0.000 2.492 4.317 0.000 2.492 1.439 4.070" Properties=species:S:1:pos:R:3 pbc="T T T"
Ru 0.000 0.000 0.000
Tb 7.477 4.317 3.052
Cu 4.985 2.878 2.035
La 2.492 1.439 1.017
```

***

Entry 2:
The following is a DFT calculation (PBE) of an optimized crystal structure of MgZrSbO6.

Formation energy from raw total energies in meV/atom: -2064.9
Volume in Å³ per cell: 225.1
Magnetic moment in μB per cell: 2.056

extended XYZ file:
```
18
Lattice="-0.899 0.929 5.260 1.037 -5.030 -1.723 8.663 1.362 1.241" Properties=species:S:1:pos:R:3 pbc="T T T"
Mg 0.000 0.000 0.000
Mg 4.331 0.681 0.620
Zr 1.912 -0.717 3.243
Zr 6.889 -2.022 1.535
Sb 2.558 -2.703 0.915
Sb 6.243 -0.036 3.863
O 1.231 -2.565 2.426
O 1.474 -1.576 -0.358
O 5.156 1.101 2.602
O 7.327 -1.162 5.135
O 3.271 -0.953 1.616
O 3.882 -2.825 -0.600
O 6.958 1.720 4.549
O 3.645 -3.840 2.175
O 4.919 0.086 5.377
O 1.843 -4.458 0.229
O 5.530 -1.786 3.162
O 7.570 -0.173 2.352
```

***

Entry 3:
The following is a DFT calculation (PBE) of an optimized crystal structure of RuI2Br.

Distance to the lowest polymorph of the same formula in meV/atom: 1057
Formation energy from raw total energies in meV/atom: 927.5
Volume in Å³ per cell: 95.5
Magnetic moment in μB per cell: 0.000

extended XYZ file:
```
4
Lattice="0.000 3.629 3.629 3.629 0.000 3.629 3.629 3.629 0.000" Properties=species:S:1:pos:R:3 pbc="T T T"
I 1.814 1.814 1.814
I 5.443 5.443 5.443
Ru 3.629 3.629 3.629
Br 0.000 0.000 0.000
```

***

Entry 4:
The following is a DFT calculation (PBE) of an optimized crystal structure of Zr2HO.

Distance to the lowest polymorph of the same formula in meV/atom: 438
Volume in Å³ per cell: 57.1
Magnetic moment in μB per cell: 0.000

extended XYZ file:
```
4
Lattice="-0.737 1.884 2.438 -1.165 -1.246 2.669 5.467 -0.448 4.057" Properties=species:S:1:pos:R:3 pbc="T T T"
H 0.000 0.000 0.000
O 1.783 0.095 4.582
Zr 3.802 -0.268 3.415
Zr -0.237 0.458 5.750
```

***

Entry 5:
The following is a DFT calculation (PBE) of an optimized crystal structure of PaMoC2.

Distance to the lowest polymorph of the same formula in meV/atom: 219
Volume in Å³ per cell: 51.6
Magnetic moment in μB per cell: 0.290
Formation energy from the elements in eV per formula unit: -0.176

extended XYZ file:
```
4
Lattice="3.152 0.000 0.000 1.576 2.729 0.000 1.576 0.910 6.003" Properties=species:S:1:pos:R:3 pbc="T T T"
Pa 4.727 2.729 5.936
Mo 3.152 1.820 3.057
C 1.576 0.910 4.253
C 1.576 0.910 1.763
```

***

Entry 6:
The following is a DFT calculation (PBE) of an optimized crystal structure of LiFeOs2.

Distance to the lowest polymorph of the same formula in meV/atom: 38
Volume in Å³ per cell: 55.2
Magnetic moment in μB per cell: 1.893
Formation energy from the elements in eV per formula unit: 0.821

extended XYZ file:
```
4
Lattice="5.053 0.095 0.123 4.292 2.668 0.123 1.169 0.346 4.255" Properties=species:S:1:pos:R:3 pbc="T T T"
Fe 7.885 2.332 3.376
Li 2.628 0.777 1.125
Os 1.418 0.419 4.163
Os 5.008 1.481 2.343
```

***

Entry 7:
The following is a DFT calculation (PBE) of an optimized crystal structure of Pm4Pr2NdSm2.

Volume in Å³ per cell: 313.8
Magnetic moment in μB per cell: 0.000
Formation energy from the elements in eV per formula unit: 0.056

extended XYZ file:
```
9
Lattice="-2.025 0.051 3.091 1.376 -9.598 -1.150 7.239 4.729 4.664" Properties=species:S:1:pos:R:3 pbc="T T T"
Pm 4.038 -2.843 4.901
Pm 2.552 -1.975 1.704
Pm 1.419 1.246 3.118
Pm 5.171 -6.063 3.487
Pr 0.247 -6.384 0.266
Pr 6.344 1.566 6.339
Nd 0.000 0.000 0.000
Sm 1.663 -5.139 3.383
Sm 4.927 0.321 3.222
```

***

Entry 8:
The following is a DFT calculation (PBE) of an optimized crystal structure of BaRe3F.

Distance to the lowest polymorph of the same formula in meV/atom: 0
Formation energy from raw total energies in meV/atom: 1833.1
Volume in Å³ per cell: 94.9
Magnetic moment in μB per cell: 4.001

extended XYZ file:
```
5
Lattice="-2.475 0.206 3.826 2.840 -2.958 1.996 2.571 3.465 1.477" Properties=species:S:1:pos:R:3 pbc="T T T"
Re 1.420 -1.479 0.998
Re 1.286 1.733 0.739
Re -1.237 0.103 1.913
Ba 1.468 0.356 3.649
F 0.000 0.000 0.000
```

***

Entry 9:
The following is a DFT calculation (PBE) of an optimized crystal structure of CaCd2Ir.

Volume in Å³ per cell: 84.2
Magnetic moment in μB per cell: 0.000
Formation energy from the elements in eV per formula unit: -0.205

extended XYZ file:
```
4
Lattice="-3.635 1.748 2.596 -2.091 -1.360 -2.011 -0.969 -5.173 2.127" Properties=species:S:1:pos:R:3 pbc="T T T"
Ca -4.112 -4.026 1.385
Ir -2.582 -0.759 1.327
Cd -0.208 -0.253 -0.121
Cd -1.322 -3.014 0.179
```

***

Entry 10:
The following is a DFT calculation (PBE) of an optimized crystal structure of BeOsI2N.

Distance to the lowest polymorph of the same formula in meV/atom: 0
Formation energy from raw total energies in meV/atom: 860.3
Volume in Å³ per cell: 114.0
Magnetic moment in μB per cell: 0.000

extended XYZ file:
```
5
Lattice="-2.365 1.695 -4.701 -3.834 -3.951 0.504 -2.163 2.345 1.934" Properties=species:S:1:pos:R:3 pbc="T T T"
I -1.917 -1.976 0.252
I -1.183 0.848 -2.350
Be -4.181 0.044 -1.132
Os 0.000 0.000 0.000
N -1.081 1.173 0.967
```

***

Entry 11:
The following is a DFT calculation (PBE) of an optimized crystal structure of KReHg2.

Distance to the lowest polymorph of the same formula in meV/atom: 211
Volume in Å³ per cell: 114.3
Magnetic moment in μB per cell: 1.736
Formation energy from the elements in eV per formula unit: 3.688

extended XYZ file:
```
4
Lattice="-3.142 -0.507 2.078 2.109 -1.341 2.863 0.732 7.331 2.894" Properties=species:S:1:pos:R:3 pbc="T T T"
Hg 0.673 6.740 2.661
Hg -0.360 0.643 3.089
K 0.370 3.711 1.465
Re 0.113 5.385 4.961
```

***

Entry 12:
The following is a DFT calculation (PBE) of an optimized crystal structure of Dy3HgH.

Distance to the lowest polymorph of the same formula in meV/atom: 0
Volume in Å³ per cell: 236.8
Magnetic moment in μB per cell: 0.000

extended XYZ file:
```
10
Lattice="-1.030 -1.529 3.221 6.628 -1.362 -0.664 2.170 8.302 4.635" Properties=species:S:1:pos:R:3 pbc="T T T"
Dy 0.774 -1.209 2.886
Dy 6.994 6.620 4.306
Dy 1.630 2.065 4.714
Dy 6.138 3.345 2.478
Dy 3.904 0.433 2.526
Dy 3.864 4.978 4.665
Hg 6.776 0.377 1.282
Hg 0.992 5.034 5.910
H 2.265 0.060 3.962
H 5.503 5.351 3.229
```

***

Entry 13:
The following is a DFT calculation (PBE) of an optimized crystal structure of LaNd4Zn4.

Volume in Å³ per cell: 499.2
Magnetic moment in μB per cell: 0.000
Formation energy from the elements in eV per formula unit: -1.238

extended XYZ file:
```
18
Lattice="-0.572 3.974 -3.503 -9.272 -2.465 -1.284 -2.579 5.957 7.180" Properties=species:S:1:pos:R:3 pbc="T T T"
La 0.000 0.000 0.000
La -6.211 3.733 1.196
Nd -6.115 6.041 3.798
Nd -8.393 3.708 5.576
Nd -6.307 1.426 -1.406
Nd -3.246 7.624 1.075
Nd -9.668 3.517 1.515
Nd -9.747 3.816 -2.185
Nd -3.458 -0.216 0.319
Nd -2.753 3.949 0.877
Zn -9.314 0.780 -1.648
Zn -3.108 6.687 4.041
Zn -8.358 5.731 -0.239
Zn -5.682 3.004 4.335
Zn -6.169 0.488 1.560
Zn -2.147 1.999 -1.435
Zn -10.274 5.468 3.827
Zn -4.635 5.709 -0.872
```